(1)
A plane-wave DFT calculation with meta-GGA SCAN was carried out for a PBEsol-optimized structure of Cs2KTiO2F3. Values from VASP.

Output
* formation energy from raw total energies: -2558 kJ/mol of formula units
* magnetization: 0.0 Bohr magnetons per cell
* symmetry: No. 42

Structure (Quantum ESPRESSO input):
```
&SYSTEM
  ibrav = 0, nat = 9, ntyp = 5
/
ATOMIC_SPECIES
Cs 132.91 Cs.upf
K 39.10 K.upf
Ti 47.87 Ti.upf
O 16.00 O.upf
F 19.00 F.upf
CELL_PARAMETERS angstrom
0.000 4.560 4.902
4.177 0.000 4.902
4.177 4.560 0.000
ATOMIC_POSITIONS angstrom
Cs 2.089 2.280 0.000
Cs 2.089 2.280 4.902
K 4.177 4.560 2.187
Ti 4.177 4.560 7.427
O 5.660 4.560 6.501
O 2.694 4.560 6.501
F 4.177 2.004 2.788
F 4.177 7.116 2.788
F 4.177 4.560 9.405
```

(2)
A plane-wave DFT calculation with meta-GGA SCAN was carried out for a PBEsol-optimized structure of Rb2NaZrIn. Values from VASP.

Output
* magnetization: 4.3 Bohr magnetons per cell
* symmetry: No. 123
* E: -104.139 eV per cell

Structure (Quantum ESPRESSO input):
```
&SYSTEM
  ibrav = 0, nat = 5, ntyp = 4
/
ATOMIC_SPECIES
Rb 85.47 Rb.upf
Na 22.99 Na.upf
Zr 91.22 Zr.upf
In 114.82 In.upf
CELL_PARAMETERS angstrom
6.493 0.000 0.000
0.000 6.493 0.000
0.000 0.000 6.080
ATOMIC_POSITIONS angstrom
Rb 0.000 3.246 0.000
Rb 3.246 0.000 0.000
Na 0.000 0.000 3.040
Zr 0.000 0.000 0.000
In 3.246 3.246 3.040
```

(3)
A plane-wave DFT calculation with meta-GGA SCAN was carried out for a PBEsol-optimized structure of GaPbN3. Values from VASP.

Output
* formation energy from raw total energies: 1028 kJ/mol of formula units
* magnetization: 4.1 Bohr magnetons per cell
* symmetry: No. 221

Structure (Quantum ESPRESSO input):
```
&SYSTEM
  ibrav = 0, nat = 5, ntyp = 3
/
ATOMIC_SPECIES
Ga 69.72 Ga.upf
Pb 207.20 Pb.upf
N 14.01 N.upf
CELL_PARAMETERS angstrom
4.380 0.000 0.000
0.000 4.380 0.000
0.000 0.000 4.380
ATOMIC_POSITIONS angstrom
Ga 0.000 0.000 0.000
Pb 2.190 2.190 2.190
N 0.000 2.190 2.190
N 2.190 0.000 2.190
N 2.190 2.190 0.000
```

(4)
A plane-wave DFT calculation with meta-GGA SCAN was carried out for a PBEsol-optimized structure of ZrHgSe2N. Values from VASP.

Output
* formation energy from raw total energies: -79 kJ/mol of formula units
* magnetization: 1.4 Bohr magnetons per cell
* symmetry: No. 123

Structure (Quantum ESPRESSO input):
```
&SYSTEM
  ibrav = 0, nat = 5, ntyp = 4
/
ATOMIC_SPECIES
Zr 91.22 Zr.upf
Hg 200.59 Hg.upf
Se 78.96 Se.upf
N 14.01 N.upf
CELL_PARAMETERS angstrom
5.280 0.000 0.000
0.000 5.280 0.000
0.000 0.000 4.037
ATOMIC_POSITIONS angstrom
Zr 0.000 0.000 0.000
Hg 2.640 2.640 2.018
Se 0.000 2.640 0.000
Se 2.640 0.000 0.000
N 0.000 0.000 2.018
```

(5)
A plane-wave DFT calculation with meta-GGA SCAN was carried out for a PBEsol-optimized structure of KLaSnRu2. Values from VASP.

Output
* magnetization: 2.4 Bohr magnetons per cell
* symmetry: No. 123
* E: -147.858 eV per cell

Structure (Quantum ESPRESSO input):
```
&SYSTEM
  ibrav = 0, nat = 5, ntyp = 4
/
ATOMIC_SPECIES
K 39.10 K.upf
La 138.91 La.upf
Sn 118.71 Sn.upf
Ru 101.07 Ru.upf
CELL_PARAMETERS angstrom
4.662 0.000 0.000
0.000 4.662 0.000
0.000 0.000 5.103
ATOMIC_POSITIONS angstrom
K 0.000 0.000 0.000
La 0.000 0.000 2.551
Sn 2.331 2.331 2.551
Ru 0.000 2.331 0.000
Ru 2.331 0.000 0.000
```

(6)
A plane-wave DFT calculation with meta-GGA SCAN was carried out for a PBEsol-optimized structure of BeZnSe2. Values from VASP.

Output
* formation energy from raw total energies: -47 kJ/mol of formula units
* magnetization: 0.0 Bohr magnetons per cell
* energy relative to the lowest polymorph listed for this composition: 736 meV/atom
* symmetry: No. 65

Structure (Quantum ESPRESSO input):
```
&SYSTEM
  ibrav = 0, nat = 4, ntyp = 3
/
ATOMIC_SPECIES
Be 9.01 Be.upf
Zn 65.41 Zn.upf
Se 78.96 Se.upf
CELL_PARAMETERS angstrom
1.693 -3.811 0.000
1.693 3.811 0.000
0.000 0.000 6.779
ATOMIC_POSITIONS angstrom
Be 0.000 0.000 0.000
Zn 0.000 0.000 3.390
Se 1.693 0.000 1.544
Se 1.693 0.000 5.235
```

Calculated volume: 186.8; 256.3; 84.0; 112.5; 110.9; 87.5 (Å³/f.u.)